1.
The following is a PBE calculation of a geometry-optimized BeSe2Cl structure, from the Alexandria database.

Output
E_form (uncorrected) = 0.116 eV per atom
energy = -12.077 eV for the cell shown
energy above the lowest structure with this stoichiometry = 0.549 eV per atom
space group = Pmm2

a b c (Å): 2.8297 2.8878 10.8753
angles (deg): 90.00 90.00 90.00
Closest atoms and distances in Å follow each position.
Positions (direct):
Se 0.0000 0.0000 0.9947  4 Se 2.83-2.89
Be 0.0000 0.0000 0.5172  4 Cl 2.41
Cl 0.5000 0.5000 0.6371  4 Be 2.41
Se 0.5000 0.5000 0.3510  4 Be 2.71, 4 Se 2.83-2.89

=====

2.
The following is a PBE calculation of a geometry-optimized BeSe2Cl structure, from the Alexandria database.

Output
E_form (uncorrected) = -0.374 eV per atom
energy = -14.036 eV for the cell shown
energy above the lowest structure with this stoichiometry = 0.059 eV per atom
space group = Cm

a b c (Å): 6.7124 6.7124 5.4116
angles (deg): 73.41 73.41 27.10
Closest atoms and distances in Å follow each position.
Positions (direct):
Be 0.5314 0.5314 0.5651  2 Cl 2.13
Se 0.9636 0.9636 0.9396  1 Se 2.30, 2 Be 2.51
Cl 0.1316 0.1316 0.3635  2 Be 2.13
Se 0.8734 0.8734 0.6318  1 Se 2.30, 2 Be 2.53

=====

3.
The following is a PBE calculation of a geometry-optimized BeSe2Cl structure, from the Alexandria database.

Output
E_form (uncorrected) = -0.031 eV per atom
energy = -12.666 eV for the cell shown
energy above the lowest structure with this stoichiometry = 0.401 eV per atom
space group = C2/m

a b c (Å): 5.9126 5.9126 5.7810
angles (deg): 62.34 62.34 34.40
Closest atoms and distances in Å follow each position.
Positions (direct):
Cl 0.2500 0.2500 0.2500  2 Se 2.52
Se 0.3828 0.3828 0.7510  2 Be 2.31, 1 Cl 2.52
Be 0.7500 0.7500 0.7500  4 Se 2.31
Se 0.1172 0.1172 0.7490  2 Be 2.31, 1 Cl 2.52